Compound: Li4Zr3NiS8
Source: Alexandria via LeMat-Bulk
Functional: PBE
Structure: optimized geometry

a = 7.2482 Å, b = 7.2482 Å, c = 18.4793 Å
α = 90.00°, β = 90.00°, γ = 120.00°
Closest atoms and distances in Å follow each position.
Space group R-3m (No. 166, hexagonal axes)
Symmetry-distinct sites (fractional):
Li1 0.0000 0.0000 0.0000 (multiplicity 3)  6 S 2.67
Li2 0.0000 0.5000 0.0000 (multiplicity 9)  6 S 2.59-2.61
Zr1 0.0000 0.5000 0.5000 (multiplicity 9)  6 S 2.59-2.60
Ni1 0.0000 0.0000 0.5000 (multiplicity 3)  6 S 2.52
S1 0.0000 0.0000 0.2504 (multiplicity 6)  3 Li 2.59, 3 Zr 2.60
S2 0.0084 0.5042 0.2470 (multiplicity 18)  1 Ni 2.52, 2 Zr 2.59, 3 Li 2.61-2.67

Values from the calculation:
The value obtained for the raw formation energy is -1.320 eV/atom. The volume comes out at 17.52 Å³ per atom.